This record from Alexandria describes an optimized crystal structure of BaVO3. The functional is PBEsol.

Cell lengths 5.6296, 5.6296, 11.3309 Å; angles 90.00, 90.00, 120.00 degrees
Fractional positions:
O 0.8460 0.6921 0.3964
Ba 0.6667 0.3333 0.2094
O 0.5000 0.5000 0.0000
O 0.3079 0.1540 0.3964
O 0.0000 0.5000 0.0000
O 0.5000 0.0000 0.0000
Ba 0.0000 0.0000 0.0000
V 0.0000 0.0000 0.2837
V 0.6667 0.3333 0.9062
O 0.8460 0.1540 0.3964
Ba 0.3333 0.6667 0.7906
V 0.0000 0.0000 0.7163
O 0.1670 0.8330 0.1962
Ba 0.6667 0.3333 0.5927
O 0.1540 0.3079 0.6036
O 0.8330 0.6660 0.8038
O 0.8330 0.1670 0.8038
V 0.3333 0.6667 0.0938
O 0.1540 0.8460 0.6036
Ba 0.3333 0.6667 0.4073
V 0.0000 0.0000 0.5000
O 0.6660 0.8330 0.1962
O 0.3340 0.1670 0.8038
O 0.1670 0.3340 0.1962
O 0.6921 0.8460 0.6036

* energy relative to the elements, uncorrected: -2.729 eV per atom
* DOS(E_F): 1.430 states/eV/f.u.



This record from Alexandria describes an optimized crystal structure of BaV3O8. The functional is PBEsol.

Cell lengths 5.4976, 7.3935, 8.2113 Å; angles 107.40, 90.00, 90.00 degrees
Last column: magnetic moment on the atom in μB.
Fractional positions:
O 0.0004 0.5298 0.8014  -0.01
Ba 0.2500 0.7838 0.0992  0.00
O 0.7500 0.1700 0.5702  -0.01
O 0.2500 0.8300 0.4298  -0.01
V 0.7500 0.5816 0.3183  0.14
O 0.7500 0.5682 0.5143  -0.01
O 0.2500 0.1664 0.0113  -0.05
O 0.9945 0.8652 0.7266  -0.01
O 0.2500 0.4318 0.4857  -0.01
O 0.2500 0.1831 0.6897  0.01
O 0.5055 0.8652 0.7266  -0.01
V 0.2500 0.9294 0.6365  0.13
O 0.7500 0.8336 0.9887  -0.05
V 0.2500 0.2901 0.2155  0.72
O 0.9996 0.4702 0.1986  -0.01
V 0.7500 0.7099 0.7845  0.72
O 0.4945 0.1348 0.2734  -0.01
O 0.5004 0.4702 0.1986  -0.01
O 0.0055 0.1348 0.2734  -0.01
O 0.4996 0.5298 0.8014  -0.01
O 0.7500 0.8169 0.3103  0.01
V 0.7500 0.0706 0.3635  0.13
V 0.2500 0.4184 0.6817  0.14
Ba 0.7500 0.2162 0.9008  0.00

* energy relative to the elements, uncorrected: -2.552 eV per atom
* DOS(E_F): 0.424 states/eV/f.u.



This record from Alexandria describes an optimized crystal structure of Ba12V4O19. The functional is PBEsol.

Cell lengths 7.8136, 7.8136, 10.2229 Å; angles 90.04, 90.04, 98.53 degrees
Last column: magnetic moment on the atom in μB.
Fractional positions:
O 0.9060 0.5914 0.8863  0.00
Ba 0.4238 0.4238 0.2469  0.04
O 0.5000 0.5000 0.0000  0.00
O 0.0940 0.4086 0.1137  0.00
O 0.6079 0.9127 0.6120  -0.01
V 0.4988 0.9987 0.2531  0.99
O 0.5000 0.5000 0.5000  0.03
O 0.4588 0.7659 0.2510  0.00
O 0.0000 0.0000 0.0000  0.01
O 0.3921 0.0873 0.3880  -0.01
Ba 0.7448 0.2552 0.0000  0.01
O 0.0416 0.7317 0.2634  -0.01
Ba 0.2618 0.7382 0.5000  0.04
Ba 0.7382 0.2618 0.5000  0.04
Ba 0.0728 0.0728 0.2403  0.08
Ba 0.2552 0.7448 0.0000  0.01
Ba 0.7486 0.7486 0.0747  0.04
O 0.9127 0.6079 0.6120  -0.01
Ba 0.7435 0.7435 0.4256  0.08
V 0.5012 0.0013 0.7469  0.99
V 0.0013 0.5012 0.7469  0.99
O 0.0873 0.3921 0.3880  -0.01
Ba 0.9272 0.9272 0.7597  0.08
O 0.2341 0.5412 0.7490  0.00
V 0.9987 0.4988 0.2531  0.99
O 0.4086 0.0940 0.1137  0.00
Ba 0.2565 0.2565 0.5744  0.08
O 0.7317 0.0416 0.2634  -0.01
Ba 0.5762 0.5762 0.7531  0.04
O 0.2683 0.9584 0.7366  -0.01
Ba 0.2514 0.2514 0.9253  0.04
O 0.7659 0.4588 0.2510  0.00
O 0.9584 0.2683 0.7366  -0.01
O 0.5412 0.2341 0.7490  0.00
O 0.5914 0.9060 0.8863  0.00

* energy relative to the elements, uncorrected: -2.587 eV per atom
* DOS(E_F): 20.498 states/eV/f.u.



This record from Alexandria describes an optimized crystal structure of BaV13O18. The functional is PBEsol.

Cell lengths 6.7880, 7.5968, 7.5968 Å; angles 68.47, 72.67, 107.33 degrees
Last column: magnetic moment on the atom in μB.
Fractional positions:
Ba 0.0000 0.0000 0.0000  0.00
O 0.2449 0.4144 0.6599  0.00
O 0.9510 0.3305 0.4569  0.00
O 0.4824 0.1599 0.7291  0.00
O 0.7551 0.5856 0.3401  0.00
O 0.3225 0.1110 0.1599  0.00
O 0.0490 0.6695 0.5431  0.00
O 0.5176 0.8401 0.2709  0.00
O 0.6205 0.2126 0.3305  0.00
V 0.6353 0.3788 0.0524  -0.65
V 0.5000 0.0000 0.0000  1.76
V 0.3123 0.9476 0.4312  -0.65
V 0.5543 0.6557 0.5158  0.18
O 0.6775 0.8890 0.8401  0.00
O 0.8305 0.9257 0.4144  0.00
O 0.0952 0.3401 0.0743  0.00
V 0.7435 0.4312 0.6212  -0.65
V 0.0701 0.5158 0.8286  0.18
O 0.3795 0.7874 0.6695  0.00
V 0.8986 0.8286 0.6557  0.18
O 0.2115 0.7291 0.1110  0.00
V 0.6877 0.0524 0.5688  -0.65
O 0.4079 0.4569 0.2126  0.00
V 0.2565 0.5688 0.3788  -0.65
O 0.1695 0.0743 0.5856  0.00
O 0.7885 0.2709 0.8890  0.00
V 0.9299 0.4842 0.1714  0.18
V 0.4457 0.3443 0.4842  0.18
V 0.1014 0.1714 0.3443  0.18
V 0.3647 0.6212 0.9476  -0.65
O 0.9048 0.6599 0.9257  0.00
O 0.5921 0.5431 0.7874  0.00

* energy relative to the elements, uncorrected: -2.293 eV per atom
* DOS(E_F): 10.667 states/eV/f.u.



This record from Alexandria describes an optimized crystal structure of Ba2V2O5. The functional is PBEsol.

Cell lengths 3.8741, 3.8741, 8.0840 Å; angles 90.00, 90.00, 90.00 degrees
Fractional positions:
O 0.0000 0.5000 0.2454
O 0.5000 0.0000 0.2454
Ba 0.5000 0.5000 0.0000
Ba 0.5000 0.5000 0.5000
V 0.0000 0.0000 0.7362
O 0.0000 0.0000 0.5000
V 0.0000 0.0000 0.2638
O 0.5000 0.0000 0.7546
O 0.0000 0.5000 0.7546

* energy relative to the elements, uncorrected: -2.515 eV per atom
* DOS(E_F): 3.520 states/eV/f.u.



This record from Alexandria describes an optimized crystal structure of BaWO2. The functional is PBEsol.

Cell lengths 4.3018, 4.3018, 4.3018 Å; angles 60.00, 60.00, 60.00 degrees
Last column: magnetic moment on the atom in μB.
Fractional positions:
O 0.7500 0.7500 0.7500  -0.03
W 0.5000 0.5000 0.5000  1.12
O 0.2500 0.2500 0.2500  -0.03
Ba 0.0000 0.0000 0.0000  0.04

* energy relative to the elements, uncorrected: -0.148 eV per atom
* DOS(E_F): 2.634 states/eV/f.u.



This record from Alexandria describes an optimized crystal structure of BaW6O18. The functional is PBEsol.

Cell lengths 7.4111, 7.4111, 7.6248 Å; angles 90.00, 90.00, 120.00 degrees
Fractional positions:
W 0.0000 0.5000 0.7518
W 0.5000 0.5000 0.2506
O 0.2089 0.7911 0.2548
O 0.2131 0.7869 0.7504
W 0.5000 0.5000 0.7518
W 0.5000 0.0000 0.7518
O 0.7869 0.2131 0.7504
Ba 0.0000 0.0000 0.3826
W 0.5000 0.0000 0.2506
O 0.0000 0.5000 0.0037
O 0.4179 0.2089 0.2548
O 0.5000 0.0000 0.0037
O 0.7911 0.5821 0.2548
O 0.7869 0.5738 0.7504
O 0.5821 0.7911 0.2548
O 0.0000 0.5000 0.5003
O 0.7911 0.2089 0.2548
O 0.5738 0.7869 0.7504
O 0.5000 0.5000 0.0037
O 0.4262 0.2131 0.7504
O 0.2131 0.4262 0.7504
W 0.0000 0.5000 0.2506
O 0.5000 0.5000 0.5003
O 0.2089 0.4179 0.2548
O 0.5000 0.0000 0.5003

* energy relative to the elements, uncorrected: -2.254 eV per atom
* DOS(E_F): 3.729 states/eV/f.u.



This record from Alexandria describes an optimized crystal structure of Ba2ZrWO6. The functional is PBEsol.

Cell lengths 5.8114, 5.8114, 5.8114 Å; angles 60.00, 60.00, 60.00 degrees
Fractional positions:
O 0.7430 0.7430 0.2570
Zr 0.0000 0.0000 0.0000
O 0.2570 0.7430 0.2570
W 0.5000 0.5000 0.5000
Ba 0.7500 0.7500 0.7500
O 0.2570 0.2570 0.7430
O 0.7430 0.2570 0.2570
O 0.2570 0.7430 0.7430
O 0.7430 0.2570 0.7430
Ba 0.2500 0.2500 0.2500

* energy relative to the elements, uncorrected: -2.858 eV per atom
* DOS(E_F): 2.978 states/eV/f.u.



- The lowest DOS(E_F) belongs to which entry?
  BaV3O8



- Look up the DOS(E_F) of the eighth one.
  2.978 states/eV/f.u.



- Which of these has the lowest energy relative to the elements, uncorrected?
  Ba2ZrWO6



- Among the records above, which one has the lowest DOS(E_F)?
  BaV3O8